# SmCu2Ni2Ge PBE relaxed
# M_tot, μB per formula unit: 0.00
# Density of states at the Fermi level, states/eV/f.u.: 5.77
# Raw total energy, eV/atom: -4.829
data_SmCu2Ni2Ge
_cell_length_a 4.344
_cell_length_b 4.344
_cell_length_c 5.562
_cell_angle_alpha 90.00
_cell_angle_beta 90.00
_cell_angle_gamma 90.00
_space_group_name_H-M_alt 'P 4/m m m'
_space_group_IT_number 123
_space_group_name_Hall '-P 4 2'
loop_
_atom_site_label
_atom_site_fract_x
_atom_site_fract_y
_atom_site_fract_z
Sm1 0.000 0.000 0.000
Cu1 0.500 0.500 0.242
Ni1 0.000 0.500 0.500
Ge1 0.000 0.000 0.500